[1]
Density functional theory data (PBE) for a relaxed structure of CsSr2MgPt.

Cell: 6.090 6.090 5.425 Å, 90.00 90.00 90.00°
Sites, in units of the cell vectors:
Cs (0.000, 0.000, 0.000)
Sr (0.000, 0.500, 0.500)
Sr (0.500, 0.000, 0.500)
Mg (0.500, 0.500, 0.000)
Pt (0.500, 0.500, 0.500)

As for the total magnetization: 0.000 μB/f.u. As for the energy above the most stable polymorph in this dataset: 0 meV per atom. Its formation enthalpy at 0 K is -0.28 eV/atom. The space group is No. 123.

=====

[2]
Density functional theory data (PBE) for a relaxed structure of CsSr2MgPt.

Cell: 6.440 6.440 5.032 Å, 90.00 90.00 90.00°
Sites, in units of the cell vectors:
Cs (0.000, 0.000, 0.000)
Sr (0.000, 0.500, 0.500)
Sr (0.500, 0.000, 0.500)
Mg (0.500, 0.500, 0.500)
Pt (0.500, 0.500, 0.000)

As for the total magnetization: 0.003 μB/f.u. As for the energy above the most stable polymorph in this dataset: 455 meV per atom. Its formation enthalpy at 0 K is 0.17 eV/atom. The space group is No. 123.

=====

[3]
Density functional theory data (PBE) for a relaxed structure of CsMgZn2Pt.

Cell: 5.093 5.093 5.176 Å, 90.00 90.00 90.00°
Sites, in units of the cell vectors:
Cs (0.000, 0.000, 0.000)
Mg (0.500, 0.500, 0.000)
Zn (0.000, 0.500, 0.500)
Zn (0.500, 0.000, 0.500)
Pt (0.500, 0.500, 0.500)

As for the total magnetization: 0.000 μB/f.u. Its formation enthalpy at 0 K is -0.25 eV/atom. The space group is No. 123.